First-principles (GGA-PBE) data for crystalline Ba3Mg2In7 at its relaxed geometry, as listed in the Alexandria database.

Computed properties:
The density of states at the Fermi level is 0.45 states/eV per atom. Its symmetry is R-3m. As for the total energy: -32.47 eV per cell. The formation energy comes out at -0.362 eV/atom.

Cell lengths 10.7163, 10.7163, 10.7163 Å; angles 34.98, 34.98, 34.98 degrees
With the nearest neighbours (Å) after each atom.
Fractional positions:
Ba: 0.0000 0.0000 0.0000  6 Mg 3.72, 12 In 4.04
Ba: 0.1420 0.1420 0.1420  12 In 3.71-3.80, 3 Ba 4.01
Ba: 0.8580 0.8580 0.8580  12 In 3.71-3.80, 3 Ba 4.01
Mg: 0.3352 0.3352 0.3352  6 In 3.04-3.08
Mg: 0.6648 0.6648 0.6648  6 In 3.04-3.08
In: 0.0740 0.5841 0.5841  2 Mg 3.04-3.08, 5 In 3.16-3.29
In: 0.4159 0.4159 0.9260  2 Mg 3.04-3.08, 5 In 3.16-3.29
In: 0.4159 0.9260 0.4159  2 Mg 3.04-3.08, 5 In 3.16-3.29
In: 0.5000 0.5000 0.5000  6 In 3.21
In: 0.5841 0.0740 0.5841  2 Mg 3.04-3.08, 5 In 3.16-3.29
In: 0.5841 0.5841 0.0740  2 Mg 3.04-3.08, 5 In 3.16-3.29
In: 0.9260 0.4159 0.4159  2 Mg 3.04-3.08, 5 In 3.16-3.29